# 1
A relaxed structure of Tb5SmTh2, computed with PBE-GGA.

Cell and atoms, written as POSCAR:
```
Tb5SmTh2
1.0
3.532 0.000 0.000
1.766 8.693 -0.080
1.766 1.518 8.559
Tb Sm Th
5 1 2
direct
0.000 0.500 0.500 Tb
0.631 0.600 0.138 Tb
0.369 0.400 0.862 Tb
0.369 0.862 0.400 Tb
0.631 0.138 0.600 Tb
0.000 0.000 0.000 Sm
0.740 0.760 0.760 Th
0.260 0.240 0.240 Th
```

Final energy (eV per atom): -5.24


# 2
A relaxed structure of Tb3Sm8Th3, computed with PBE-GGA.

Cell and atoms, written as POSCAR:
```
Tb3Sm8Th3
1.0
-0.412 4.849 3.063
-8.957 0.280 3.751
5.596 -1.084 7.867
Tb Sm Th
3 8 3
direct
0.500 0.500 0.500 Tb
0.812 0.188 0.188 Tb
0.188 0.812 0.812 Tb
0.658 0.119 0.566 Sm
0.342 0.881 0.434 Sm
0.658 0.566 0.119 Sm
0.342 0.434 0.881 Sm
0.835 0.767 0.561 Sm
0.165 0.233 0.439 Sm
0.835 0.561 0.767 Sm
0.165 0.439 0.233 Sm
0.500 0.000 0.000 Th
0.000 0.816 0.184 Th
0.000 0.184 0.816 Th
```

Final energy (eV per atom): -5.12


# 3
A relaxed structure of Tb7Sm4Th, computed with PBE-GGA.

Cell and atoms, written as POSCAR:
```
Tb7Sm4Th
1.0
5.981 0.000 0.000
2.991 11.231 -0.352
2.991 0.162 6.070
Tb Sm Th
7 4 1
direct
0.787 0.923 0.503 Tb
0.213 0.077 0.497 Tb
0.064 0.680 0.193 Tb
0.936 0.320 0.807 Tb
0.369 0.498 0.764 Tb
0.500 0.000 0.000 Tb
0.631 0.502 0.236 Tb
0.638 0.223 0.500 Sm
0.362 0.777 0.500 Sm
0.763 0.675 0.800 Sm
0.237 0.325 0.200 Sm
0.000 0.000 0.000 Th
```

Distance to the lowest polymorph of the same formula (eV per atom): 0.271


# 4
A relaxed structure of Tb3Sm8Th, computed with PBE-GGA.

Cell and atoms, written as POSCAR:
```
Tb3Sm8Th
1.0
7.185 0.522 -4.977
-3.042 8.103 -1.319
-1.727 -0.522 8.568
Tb Sm Th
3 8 1
direct
0.500 0.757 0.257 Tb
0.500 0.243 0.743 Tb
0.000 0.500 0.500 Tb
0.499 0.257 0.241 Sm
0.501 0.742 0.758 Sm
0.984 0.743 0.242 Sm
0.016 0.258 0.759 Sm
0.166 0.415 0.249 Sm
0.834 0.084 0.249 Sm
0.834 0.585 0.751 Sm
0.166 0.916 0.751 Sm
0.000 0.000 0.000 Th
```

Final energy (eV per atom): -4.57


# 5
A relaxed structure of Tb2SmTh, computed with PBE-GGA.

Cell and atoms, written as POSCAR:
```
Tb2SmTh
1.0
-3.055 0.999 1.583
-0.346 -3.279 1.402
5.210 2.953 8.193
Tb Sm Th
2 1 1
direct
0.000 0.000 0.758 Tb
0.000 0.000 0.242 Tb
0.500 0.500 0.500 Sm
0.500 0.500 0.000 Th
```

Distance to the lowest polymorph of the same formula (eV per atom): 0.027


# 6
A relaxed structure of TbSm12Th3, computed with PBE-GGA.

Cell and atoms, written as POSCAR:
```
TbSm12Th3
1.0
-2.300 2.991 3.443
-3.542 -3.601 0.762
11.487 -8.174 14.779
Tb Sm Th
1 12 3
direct
0.000 0.000 0.000 Tb
0.500 0.500 0.000 Sm
0.500 0.500 0.250 Sm
0.500 0.500 0.500 Sm
0.500 0.500 0.750 Sm
0.500 0.000 0.126 Sm
0.500 0.000 0.375 Sm
0.500 0.000 0.625 Sm
0.500 0.000 0.874 Sm
0.000 0.500 0.126 Sm
0.000 0.500 0.375 Sm
0.000 0.500 0.625 Sm
0.000 0.500 0.874 Sm
0.000 0.000 0.250 Th
0.000 0.000 0.500 Th
0.000 0.000 0.750 Th
```

Final energy (eV per atom): -5.18